Sr2InRh3 (PBE, optimized geometry); symmetry = No. 194; formation energy = -33.9 kJ/mol of atoms
1.0
5.7840 0.0000 0.0000
-2.8920 5.0091 0.0000
0.0000 0.0000 8.7554
Rh In Sr
6 2 4
Cartesian
1.3665 4.1284 2.1888
0.0000 1.7615 2.1888
2.8920 3.2476 6.5665
-1.3665 4.1284 2.1888
1.5255 0.8807 6.5665
4.2585 0.8807 6.5665
0.0000 0.0000 4.3777
0.0000 0.0000 0.0000
0.0000 3.3394 8.1390
2.8920 1.6697 3.7613
0.0000 3.3394 4.9941
2.8920 1.6697 0.6164


Pm2FeRu (PBE, optimized geometry); symmetry = No. 123; formation energy = 7.4 kJ/mol of atoms
1.0
-1.1191 -1.3385 3.0069
3.2685 -0.8252 0.8491
0.7972 6.3901 3.1412
Ru Fe Pm
1 1 2
Cartesian
1.0747 -1.0818 1.9280
1.4733 2.1132 3.4986
0.1939 1.5539 0.7639
0.6033 4.8362 2.3773


Pm6P2Se3I (PBE, optimized geometry); symmetry = No. 12; formation energy without anion corrections = -1877 kJ/mol of formula units
1.0
-2.2824 3.0494 -1.7783
-7.1318 -4.4610 1.5037
1.9370 3.5123 8.5049
P Se Pm I
2 3 6 1
Cartesian
-2.1411 0.1983 3.0879
-5.3360 1.9025 5.1424
-4.7071 -0.7058 -0.1373
-5.7305 -2.1462 3.6745
-1.7466 4.2470 4.5558
-5.7805 -0.7127 6.1968
-2.0139 -1.1519 0.6095
-5.4632 3.2526 7.6208
-2.5199 1.4099 5.6518
-4.9572 0.6908 2.5784
-1.6966 2.8134 2.0335
-1.1412 1.5247 -0.8892


MgPdS3 (PBE, optimized geometry); symmetry = No. 221; energy above the lowest structure with this stoichiometry = 0.0 meV per atom; formation energy without anion corrections = 62 kJ/mol of formula units
1.0
-3.9084 -2.5295 0.7067
2.5653 -3.9484 0.0543
0.5634 0.4301 4.6552
Mg S Pd
1 3 1
Cartesian
-0.3899 -3.0239 2.7081
1.2826 -1.9742 0.0271
-1.9542 -1.2648 0.3534
0.2817 0.2150 2.3276
0.0000 0.0000 0.0000


Pr3SmY2Ho6 (PBE, optimized geometry); symmetry = No. 12; formation energy = 1.9 kJ/mol of atoms
1.0
6.2256 0.0001 0.0008
-3.1112 5.3925 0.0008
-1.0359 -1.7937 11.6643
Ho Pr Y Sm
6 3 2 1
Cartesian
0.0046 3.5971 8.7829
0.0004 0.0006 8.7812
2.0781 3.5982 2.8848
3.1134 1.8016 8.7829
2.0739 0.0018 2.8831
-1.0349 1.7972 2.8831
4.1498 0.0030 5.8330
-2.0713 3.5959 5.8330
1.0392 1.7994 5.8330
0.0005 3.5954 0.0008
3.1139 1.7972 0.0008
0.0000 0.0000 0.0000


IrRu2Cl (PBE, optimized geometry); symmetry = No. 44; energy above the lowest structure with this stoichiometry = 392.7 meV per atom; formation energy without anion corrections = 305 kJ/mol of formula units
1.0
-1.2765 -1.7430 -4.8049
-1.3891 -5.0512 -0.5570
-0.9298 4.7388 2.1056
Ru Ir Cl
2 1 1
Cartesian
-2.6584 -6.7759 -5.3473
-1.7306 -0.1014 -2.6117
-1.8530 -1.9239 -0.6207
-1.3518 -3.4456 -2.7192


Os2RhAu (PBE, optimized geometry); symmetry = No. 12; energy above the lowest structure with this stoichiometry = 197.6 meV per atom; formation energy = 39.8 kJ/mol of atoms
1.0
1.3796 4.6041 0.0010
-1.3796 4.6041 0.0010
0.0000 0.8295 4.7454
Au Os Rh
1 2 1
Cartesian
0.0000 0.4147 2.3727
0.0000 2.8846 3.6285
0.0000 7.1530 1.1190
0.0000 4.6041 0.0010


Pm3NdSm6Ho2 (PBE, optimized geometry); symmetry = No. 12; formation energy = 1.4 kJ/mol of atoms
1.0
6.2713 0.0002 0.0072
-3.1339 5.4321 0.0072
-1.0591 -1.8338 11.8230
Sm Nd Ho Pm
6 1 2 3
Cartesian
-0.0157 3.6023 8.9007
3.1280 1.7866 8.9007
-1.0498 1.8119 2.9367
2.0865 3.6127 2.9431
-0.0082 -0.0142 8.8943
2.0940 -0.0038 2.9367
0.0000 0.0000 0.0000
3.1363 1.8108 0.0072
0.0010 3.6215 0.0072
-2.0932 3.6083 5.9187
4.1715 -0.0098 5.9187
1.0391 1.7992 5.9187


Mg2InIr (PBE, optimized geometry); symmetry = No. 122; formation energy = 14.5 kJ/mol of atoms
1.0
4.0681 0.0000 0.0000
0.0000 4.0681 0.0000
2.0341 2.0341 9.6741
Mg Ir In
4 2 2
Cartesian
3.1427 1.0170 2.4185
3.0511 2.9594 7.2556
0.9254 3.0511 2.4185
5.0851 5.1768 7.2556
0.0000 0.0000 0.0000
4.0681 2.0341 4.8371
2.0341 4.0681 4.8371
2.0341 2.0341 0.0000


AcTbHo (PBE, optimized geometry); symmetry = No. 129; energy above the lowest structure with this stoichiometry = 663.1 meV per atom; formation energy = 69.8 kJ/mol of atoms
1.0
-5.9473 -1.4971 1.0842
1.3581 -1.0610 5.9848
-1.2962 6.1523 1.3848
Ho Tb Ac
2 2 2
Cartesian
-3.8321 3.3259 1.4592
0.2413 1.5473 3.4601
-3.1975 0.3136 0.7812
-0.3934 4.5596 4.1381
-2.2946 -1.2790 3.5345
0.0000 0.0000 0.0000


Pm2BeAl4Au3 (PBE, optimized geometry); symmetry = No. 115; formation energy = -59.3 kJ/mol of atoms
1.0
-2.2698 -3.6704 -0.1609
1.9277 -1.0288 -3.7249
7.6393 -4.9575 5.3226
Au Al Pm Be
3 4 2 1
Cartesian
5.4718 -6.1226 4.5228
3.8196 -2.4787 2.6613
1.9964 -1.1845 -1.1430
0.0000 0.0000 0.0000
3.8199 -2.3678 0.1275
3.6483 -4.9392 3.2522
-0.1711 -2.3496 -1.9429
0.8475 -3.1217 1.3008
6.6207 -4.1854 2.0789
3.6486 -4.8283 0.7184


SiIrOs2 (PBE, optimized geometry); symmetry = No. 65; formation energy without anion corrections = 48 kJ/mol of formula units
1.0
-0.0255 4.5101 -1.0246
-2.0180 -0.5198 4.1290
2.4405 0.2932 1.2297
Si Ir Os
1 1 2
Cartesian
1.2075 2.4016 0.1026
0.2113 -0.1133 2.6794
-1.0218 1.9952 1.5522
0.0000 0.0000 0.0000


no.,calculated density (Mg/m³)
1,7.839
2,8.571
3,6.689
4,3.609
5,7.380
6,12.221
7,18.741
8,7.464
9,7.377
10,7.326
11,8.423
12,17.816